[1]
Entry from the Alexandria database: crystalline PrIn2Sn2 at its relaxed geometry (PBE).

Properties
SG ... Cmcm (63)

Unit cell a=13.226 b=13.226 c=4.616 alpha=90.00 beta=90.00 gamma=160.22
Positions (direct):
Pr: 0.151 0.849 0.750
Pr: 0.849 0.151 0.250
In: 0.049 0.951 0.250
In: 0.453 0.547 0.250
In: 0.547 0.453 0.750
In: 0.951 0.049 0.750
Sn: 0.250 0.750 0.250
Sn: 0.356 0.644 0.750
Sn: 0.644 0.356 0.250
Sn: 0.750 0.250 0.750

[2]
Entry from the Alexandria database: crystalline Pr5InSn3 at its relaxed geometry (PBE).

Properties
SG ... P6_3/mcm (193)

Unit cell a=9.731 b=9.731 c=6.743 alpha=90.00 beta=90.00 gamma=120.00
Positions (direct):
Pr: 0.000 0.281 0.250
Pr: 0.000 0.719 0.750
Pr: 0.281 0.000 0.250
Pr: 0.281 0.281 0.750
Pr: 0.333 0.667 0.000
Pr: 0.333 0.667 0.500
Pr: 0.667 0.333 0.000
Pr: 0.667 0.333 0.500
Pr: 0.719 0.000 0.750
Pr: 0.719 0.719 0.250
In: 0.000 0.000 0.000
In: 0.000 0.000 0.500
Sn: 0.000 0.373 0.750
Sn: 0.000 0.627 0.250
Sn: 0.373 0.000 0.750
Sn: 0.373 0.373 0.250
Sn: 0.627 0.000 0.250
Sn: 0.627 0.627 0.750

Computed formation energy from the elements, in the same sequence as the records: -0.3474 -0.6553 eV/atom.
Computed energy, in the same sequence as the records: -3.9998 -4.9491 eV/atom.